# Ta2PtBr GGA-PBE optimized geometry
# - E_tot: -7.6520 eV per atom
# - Polymorph energy (0 for the lowest one): 285.5 meV/atom
# - ΔE_f (raw): 0.20 eV/atom
data_Ta2PtBr
_chemical_formula_sum 'Ta2 Pt1 Br1'
_cell_length_a 5.6856
_cell_length_b 5.6856
_cell_length_c 5.6856
_cell_angle_alpha 149.39
_cell_angle_beta 130.15
_cell_angle_gamma 59.64
_space_group_name_H-M_alt 'P 1'
_space_group_IT_number 1
loop_
_space_group_symop_operation_xyz
'x,y,z'
loop_
_atom_site_label
_atom_site_type_symbol
_atom_site_fract_x
_atom_site_fract_y
_atom_site_fract_z
Br1 Br 0.5145 0.5145 0.0000
Pt1 Pt 0.2504 0.7504 0.5000
Ta1 Ta 0.0025 0.0025 0.0000
Ta2 Ta 0.7326 0.2326 0.5000

=====

# Li2MnReRh GGA-PBE optimized geometry
# - E_tot: -5.2115 eV per atom
data_Li2MnReRh
_chemical_formula_sum 'Li2 Mn1 Re1 Rh1'
_cell_length_a 4.1122
_cell_length_b 4.7854
_cell_length_c 4.1122
_cell_angle_alpha 90.00
_cell_angle_beta 90.00
_cell_angle_gamma 90.00
_space_group_name_H-M_alt 'P 1'
_space_group_IT_number 1
loop_
_space_group_symop_operation_xyz
'x,y,z'
loop_
_atom_site_label
_atom_site_type_symbol
_atom_site_fract_x
_atom_site_fract_y
_atom_site_fract_z
Re1 Re 0.0000 0.5000 0.0000
Mn1 Mn 0.5000 0.5000 0.5000
Rh1 Rh 0.0000 0.0000 0.0000
Li1 Li 0.0000 0.0000 0.5000
Li2 Li 0.5000 0.0000 0.0000

=====

# Rb6TlF8 GGA-PBE optimized geometry
# - E_tot: -3.8910 eV per atom
# - ΔE_f (raw): -2.35 eV/atom
data_Rb6TlF8
_chemical_formula_sum 'Rb6 Tl1 F8'
_cell_length_a 4.4000
_cell_length_b 9.6498
_cell_length_c 9.6498
_cell_angle_alpha 120.00
_cell_angle_beta 90.00
_cell_angle_gamma 90.00
_space_group_name_H-M_alt 'P 1'
_space_group_IT_number 1
loop_
_space_group_symop_operation_xyz
'x,y,z'
loop_
_atom_site_label
_atom_site_type_symbol
_atom_site_fract_x
_atom_site_fract_y
_atom_site_fract_z
Rb1 Rb 0.7738 0.6994 0.1235
Rb2 Rb 0.7738 0.8765 0.5759
Rb3 Rb 0.7738 0.4241 0.3006
Rb4 Rb 0.2262 0.3006 0.8765
Rb5 Rb 0.2262 0.1235 0.4241
Rb6 Rb 0.2262 0.5759 0.6994
Tl1 Tl 0.5000 0.0000 0.0000
F1 F 0.7263 0.0117 0.2438
F2 F 0.7263 0.7562 0.7679
F3 F 0.7263 0.2321 0.9883
F4 F 0.2737 0.9883 0.7562
F5 F 0.2737 0.2438 0.2321
F6 F 0.2737 0.7679 0.0117
F7 F 0.7622 0.3333 0.6667
F8 F 0.2378 0.6667 0.3333

=====

Question: Number 3 is which compound?
Answer: Rb6TlF8

=====

Question: E_tot of number 1 (Ta2PtBr)?
Answer: -7.6520 eV per atom